This record from the Alexandria database describes MgAsH after structural relaxation. The functional is PBE.

Computed properties:
- symmetry = P-1
- calculated total energy (eV per cell) = -20.48

a = 4.4862 Å, b = 4.5203 Å, c = 7.0637 Å
α = 79.87°, β = 79.85°, γ = 62.18°
Atoms (fractional coordinates):
Mg1 0.2117 0.2040 0.1656
Mg2 0.7883 0.7960 0.8344
As1 0.1340 0.1485 0.7845
As2 0.8660 0.8515 0.2155
H1 0.2588 0.2491 0.5777
H2 0.7412 0.7509 0.4223